Here is a relaxed La5NdSn5 crystal from Alexandria via LeMat-Bulk. Energies are from PBE.

Output
**Formation enthalpy at 0 K**: -5.806 eV per formula unit
**E_tot**: -5.02 eV/atom
**Density of states at the Fermi level**: 0.99 states/eV per atom
**Density**: 5.8 g/cm3

a b c (Å): 14.8777 6.4952 8.8923
angles (deg): 90.00 107.41 90.00
Space group C2/m (No. 12)
Unique sites:
La  0.0000  0.0000  0.0000 [2 per cell]
La  0.1698  0.5000  0.3375 [4 per cell]
La  0.1701  0.5000  0.8319 [4 per cell]
Nd  0.0000  0.0000  0.5000 [2 per cell]
Sn  0.0000  0.5000  0.5000 [2 per cell]
Sn  0.1614  0.0000  0.3299 [4 per cell]
Sn  0.1633  0.0000  0.8331 [4 per cell]